Entry w
# PBE-GGA Ni2Ir2Pt, relaxed
# magnetization = 0.0000 μB/atom
# Fermi-level density of states = 2.369 states/eV/atom
data_Ni2Ir2Pt
_chemical_formula_sum 'Ni4 Ir4 Pt2'
_symmetry_space_group_name_H-M 'P 4/m b m'
_symmetry_Int_Tables_number 127
_symmetry_space_group_name_Hall '-P 4 2ab'
_cell_length_a 7.128
_cell_length_b 7.128
_cell_length_c 2.739
_cell_angle_alpha 90.00
_cell_angle_beta 90.00
_cell_angle_gamma 90.00
loop_
_atom_site_label
_atom_site_type_symbol
_atom_site_fract_x
_atom_site_fract_y
_atom_site_fract_z
Ni1 Ni 0.167 0.333 0.000
Ir1 Ir 0.130 0.630 0.500
Pt1 Pt 0.000 0.000 0.500

---

Entry x
# PBE-GGA Ni2Ir2Pt, relaxed
# magnetization = 0.3719 μB/atom
# Fermi-level density of states = 1.782 states/eV/atom
data_Ni2Ir2Pt
_chemical_formula_sum 'Ni4 Ir4 Pt2'
_symmetry_space_group_name_H-M 'P 4/m b m'
_symmetry_Int_Tables_number 127
_symmetry_space_group_name_Hall '-P 4 2ab'
_cell_length_a 7.113
_cell_length_b 7.113
_cell_length_c 2.714
_cell_angle_alpha 90.00
_cell_angle_beta 90.00
_cell_angle_gamma 90.00
loop_
_atom_site_label
_atom_site_type_symbol
_atom_site_fract_x
_atom_site_fract_y
_atom_site_fract_z
Ni1 Ni 0.120 0.380 0.000
Ir1 Ir 0.176 0.676 0.500
Pt1 Pt 0.000 0.000 0.000

---

Preferred: entry w; penalty for the next structure: 10 meV per atom.

---

Entry w
# PBE-GGA Ni4IrPt, relaxed
# magnetization = 0.5571 μB/atom
# Fermi-level density of states = 1.715 states/eV/atom
data_Ni4IrPt
_chemical_formula_sum 'Ni8 Ir2 Pt2'
_symmetry_space_group_name_H-M 'P -1'
_symmetry_Int_Tables_number 2
_symmetry_space_group_name_Hall '-P 1'
_cell_length_a 4.992
_cell_length_b 5.999
_cell_length_c 6.406
_cell_angle_alpha 112.81
_cell_angle_beta 104.89
_cell_angle_gamma 103.03
loop_
_atom_site_label
_atom_site_type_symbol
_atom_site_fract_x
_atom_site_fract_y
_atom_site_fract_z
Ni1 Ni 0.088 0.358 0.051
Ni2 Ni 0.167 0.692 0.502
Ni3 Ni 0.238 0.987 0.935
Ni4 Ni 0.290 0.247 0.376
Ir1 Ir 0.443 0.852 0.277
Pt1 Pt 0.353 0.543 0.814

---

Entry x
# PBE-GGA Ni4IrPt, relaxed
# magnetization = 0.6836 μB/atom
# Fermi-level density of states = 1.495 states/eV/atom
data_Ni4IrPt
_chemical_formula_sum 'Ni8 Ir2 Pt2'
_symmetry_space_group_name_H-M 'I m m m'
_symmetry_Int_Tables_number 71
_symmetry_space_group_name_Hall '-I 2 2'
_cell_length_a 4.091
_cell_length_b 5.186
_cell_length_c 7.098
_cell_angle_alpha 90.00
_cell_angle_beta 90.00
_cell_angle_gamma 90.00
loop_
_atom_site_label
_atom_site_type_symbol
_atom_site_fract_x
_atom_site_fract_y
_atom_site_fract_z
Ni1 Ni 0.000 0.249 0.166
Ir1 Ir 0.000 0.500 0.500
Pt1 Pt 0.000 0.000 0.500

---

Preferred: entry x; penalty for the next structure: 84 meV per atom.

---

Entry w
# PBE-GGA NiIrPt4, relaxed
# magnetization = 0.1977 μB/atom
# Fermi-level density of states = 1.824 states/eV/atom
data_NiIrPt4
_chemical_formula_sum 'Ni2 Ir2 Pt8'
_symmetry_space_group_name_H-M 'P m m a'
_symmetry_Int_Tables_number 51
_symmetry_space_group_name_Hall '-P 2a 2a'
_cell_length_a 8.844
_cell_length_b 2.716
_cell_length_c 7.581
_cell_angle_alpha 90.00
_cell_angle_beta 90.00
_cell_angle_gamma 90.00
loop_
_atom_site_label
_atom_site_type_symbol
_atom_site_fract_x
_atom_site_fract_y
_atom_site_fract_z
Ni1 Ni 0.250 0.000 0.048
Ir1 Ir 0.250 0.000 0.706
Pt1 Pt 0.000 0.000 0.500
Pt2 Pt 0.008 0.500 0.830
Pt3 Pt 0.250 0.500 0.364

---

Entry x
# PBE-GGA NiIrPt4, relaxed
# magnetization = 0.4787 μB/atom
# Fermi-level density of states = 1.378 states/eV/atom
data_NiIrPt4
_chemical_formula_sum 'Ni4 Ir4 Pt16'
_symmetry_space_group_name_H-M 'F -4 3 m'
_symmetry_Int_Tables_number 216
_symmetry_space_group_name_Hall 'F -4 2 3'
_cell_length_a 7.334
_cell_length_b 7.334
_cell_length_c 7.334
_cell_angle_alpha 90.00
_cell_angle_beta 90.00
_cell_angle_gamma 90.00
loop_
_atom_site_label
_atom_site_type_symbol
_atom_site_fract_x
_atom_site_fract_y
_atom_site_fract_z
Ni1 Ni 0.000 0.000 0.000
Ir1 Ir 0.250 0.250 0.250
Pt1 Pt 0.125 0.125 0.625

---

Preferred: entry w; penalty for the next structure: 389 meV per atom.

---

Entry w
# PBE-GGA Ni2IrPt2, relaxed
# magnetization = 0.6418 μB/atom
# Fermi-level density of states = 1.509 states/eV/atom
data_Ni2IrPt2
_chemical_formula_sum 'Ni4 Ir2 Pt4'
_symmetry_space_group_name_H-M 'P 4/m b m'
_symmetry_Int_Tables_number 127
_symmetry_space_group_name_Hall '-P 4 2ab'
_cell_length_a 7.086
_cell_length_b 7.086
_cell_length_c 2.791
_cell_angle_alpha 90.00
_cell_angle_beta 90.00
_cell_angle_gamma 90.00
loop_
_atom_site_label
_atom_site_type_symbol
_atom_site_fract_x
_atom_site_fract_y
_atom_site_fract_z
Ni1 Ni 0.120 0.380 0.000
Ir1 Ir 0.000 0.000 0.000
Pt1 Pt 0.178 0.678 0.500

---

Entry x
# PBE-GGA Ni2IrPt2, relaxed
# magnetization = 0.4228 μB/atom
# Fermi-level density of states = 2.010 states/eV/atom
data_Ni2IrPt2
_chemical_formula_sum 'Ni6 Ir3 Pt6'
_symmetry_space_group_name_H-M 'R -3 m'
_symmetry_Int_Tables_number 166
_symmetry_space_group_name_Hall '-R 3 2"'
_cell_length_a 2.7154
_cell_length_b 2.7154
_cell_length_c 32.5325
_cell_angle_alpha 90.00
_cell_angle_beta 90.00
_cell_angle_gamma 120.00
loop_
_atom_site_label
_atom_site_type_symbol
_atom_site_fract_x
_atom_site_fract_y
_atom_site_fract_z
Ni1 Ni 0.0000 0.0000 0.1032
Ir1 Ir 0.0000 0.0000 0.5000
Pt1 Pt 0.0000 0.0000 0.3708

---

Entry y
# PBE-GGA Ni2IrPt2, relaxed
# magnetization = 0.0001 μB/atom
# Fermi-level density of states = 1.481 states/eV/atom
data_Ni2IrPt2
_chemical_formula_sum 'Ni4 Ir2 Pt4'
_symmetry_space_group_name_H-M 'I 4/m m m'
_symmetry_Int_Tables_number 139
_symmetry_space_group_name_Hall '-I 4 2'
_cell_length_a 3.365
_cell_length_b 3.365
_cell_length_c 12.896
_cell_angle_alpha 90.00
_cell_angle_beta 90.00
_cell_angle_gamma 90.00
loop_
_atom_site_label
_atom_site_type_symbol
_atom_site_fract_x
_atom_site_fract_y
_atom_site_fract_z
Ni1 Ni 0.000 0.500 0.250
Ir1 Ir 0.000 0.000 0.000
Pt1 Pt 0.000 0.000 0.398

---

Preferred: entry x; penalty for the next structure: 214 meV per atom.

---

Entry w
# PBE-GGA PuNi4Ir, relaxed
# magnetization = 0.3641 μB/atom
# Fermi-level density of states = 2.564 states/eV/atom
data_PuNi4Ir
_chemical_formula_sum 'Pu4 Ni16 Ir4'
_symmetry_space_group_name_H-M 'F -4 3 m'
_symmetry_Int_Tables_number 216
_symmetry_space_group_name_Hall 'F -4 2 3'
_cell_length_a 6.884
_cell_length_b 6.884
_cell_length_c 6.884
_cell_angle_alpha 90.00
_cell_angle_beta 90.00
_cell_angle_gamma 90.00
loop_
_atom_site_label
_atom_site_type_symbol
_atom_site_fract_x
_atom_site_fract_y
_atom_site_fract_z
Pu1 Pu 0.000 0.000 0.000
Ni1 Ni 0.124 0.124 0.376
Ir1 Ir 0.250 0.250 0.750

---

Entry x
# PBE-GGA PuNi4Ir, relaxed
# magnetization = 0.5023 μB/atom
# Fermi-level density of states = 2.273 states/eV/atom
data_PuNi4Ir
_chemical_formula_sum 'Pu2 Ni8 Ir2'
_symmetry_space_group_name_H-M 'P m m a'
_symmetry_Int_Tables_number 51
_symmetry_space_group_name_Hall '-P 2a 2a'
_cell_length_a 7.165
_cell_length_b 3.813
_cell_length_c 6.457
_cell_angle_alpha 90.00
_cell_angle_beta 90.00
_cell_angle_gamma 90.00
loop_
_atom_site_label
_atom_site_type_symbol
_atom_site_fract_x
_atom_site_fract_y
_atom_site_fract_z
Pu1 Pu 0.250 0.000 0.141
Ni1 Ni 0.000 0.000 0.500
Ni2 Ni 0.026 0.500 0.776
Ni3 Ni 0.250 0.500 0.475
Ir1 Ir 0.250 0.000 0.755

---

Preferred: entry w; penalty for the next structure: 172 meV per atom.